# SrV3O7

A relaxed structure of SrV3O7 (PBE+U, Alexandria).

## Properties
The volume comes out at 655.5 Å³ per cell. As for the offset from the most stable computed form: 0.000 eV/atom. Its total magnetization is 12.00 Bohr magnetons per cell. The value obtained for the total energy is -7.593 eV/atom.

Structure (CIF):
```
data_SrV3O7
_space_group_name_H-M_alt 'P n m a'
_space_group_IT_number 62
_cell_length_a 11.5134
_cell_length_b 10.5352
_cell_length_c 5.4045
_cell_angle_alpha 90.00
_cell_angle_beta 90.00
_cell_angle_gamma 90.00
loop_
_space_group_symop_operation_xyz
'x,y,z'
'-x,-y,-z'
'-x+1/2,-y,z+1/2'
'x+1/2,y,-z+1/2'
'x+1/2,-y+1/2,-z+1/2'
'-x+1/2,y+1/2,z+1/2'
'-x,y+1/2,-z'
'x,-y+1/2,z'
loop_
_atom_site_label
_atom_site_type_symbol
_atom_site_fract_x
_atom_site_fract_y
_atom_site_fract_z
Sr1 Sr 0.0716 0.2500 0.1884
V1 V 0.1924 0.5226 0.7028
V2 V 0.2166 0.7500 0.1960
O1 O 0.0545 0.5668 0.7189
O2 O 0.0725 0.7500 0.1860
O3 O 0.2206 0.1185 0.4638
O4 O 0.2255 0.1190 0.9354
```